# 1
! Be2AlTe, relaxed, DFT PBE; values from VASP
! * total magnetization: 0.00 μB/cell
! * energy above the most stable polymorph in this dataset: 1.03 eV per formula unit
! * symmetry: No. 166
! * E_tot: -3.116 eV/atom
&SYSTEM
  ibrav = 0, nat = 4, ntyp = 3
/
ATOMIC_SPECIES
Te 127.60 Te.upf
Al 26.98 Al.upf
Be 9.01 Be.upf
CELL_PARAMETERS angstrom
6.2566 -0.0810 -0.0494
5.2367 3.4247 -0.0494
5.2367 1.5235 3.0676
ATOMIC_POSITIONS angstrom
Te 4.1825 1.2168 0.7422
Al 12.5475 3.6504 2.2266
Be 0.0164 0.0048 0.0029
Be 8.3486 2.4288 1.4815


# 2
! BeAl2Te, relaxed, DFT PBE; values from VASP
! * total magnetization: 0.00 μB/cell
! * energy above the most stable polymorph in this dataset: 0.70 eV per formula unit
! * symmetry: No. 160
! * E_tot: -3.314 eV/atom
&SYSTEM
  ibrav = 0, nat = 4, ntyp = 3
/
ATOMIC_SPECIES
Be 9.01 Be.upf
Al 26.98 Al.upf
Te 127.60 Te.upf
CELL_PARAMETERS angstrom
-2.6854 -6.0825 2.0164
0.9022 -6.2011 3.0011
-1.5570 -4.4056 5.1421
ATOMIC_POSITIONS angstrom
Be -1.6655 -8.3217 5.0659
Al -3.3221 -16.5988 10.1046
Al -0.8009 -4.0019 2.4362
Te -2.5619 -12.8006 7.7924


# 3
! BeAlTe, relaxed, DFT PBE; values from VASP
! * total magnetization: 0.00 μB/cell
! * energy above the most stable polymorph in this dataset: 0.73 eV per formula unit
! * symmetry: No. 156
! * E_tot: -3.330 eV/atom
&SYSTEM
  ibrav = 0, nat = 3, ntyp = 3
/
ATOMIC_SPECIES
Te 127.60 Te.upf
Be 9.01 Be.upf
Al 26.98 Al.upf
CELL_PARAMETERS angstrom
3.7665 0.0000 0.0000
-1.8832 3.2619 0.0000
0.0000 0.0000 4.9775
ATOMIC_POSITIONS angstrom
Te 0.0000 2.1746 2.9439
Be 1.8832 1.0873 1.7434
Al 0.0000 0.0000 0.2901